A geometry-optimized LaZr2Ag structure. Source: Alexandria via LeMat-Bulk, functional GGA-PBEsol.

a = 3.2778 Å, b = 3.2778 Å, c = 8.7890 Å
α = 90.00°, β = 90.00°, γ = 90.00°
With the nearest neighbours (Å) after each atom.
Space group P4mm (No. 99)
Inequivalent atoms, fractional coordinates:
La (0.0000, 0.0000, 0.0000) x1  4 Ag 3.28, 4 La 3.28, 4 Zr 3.51
Zr (0.0000, 0.0000, 0.5318) x1  4 Ag 2.93, 8 Zr 3.08-3.28
Zr (0.5000, 0.5000, 0.3004) x1  8 Zr 3.08-3.28
Ag (0.5000, 0.5000, 0.7366) x1  4 Zr 2.93, 4 La 3.28, 4 Ag 3.28

Computed properties:
DOS(E_F)   3.86 states/eV/f.u.
Energy relative to the lowest polymorph listed for this composition   0 meV per atom
Spin magnetization   0.000 μB/atom
Crystal system   tetragonal